No. 1
Below is a relaxed PrMg9Hg3 crystal, with properties calculated at the GGA-PBE level.

The formation energy from the elements comes out at -0.179 eV per atom. For the size of the total moment, the calculation gives 0.0 μB per formula unit. The calculation puts the total energy at -22.4 eV per formula unit. The crystal system is monoclinic.

The space group is C2/m (No. 12) and the conventional cell measures 5.979, 14.127 and 7.662 Å, with angles of 90.00, 112.30 and 90.00 degrees. The inequivalent atoms are Pr at (0.000, 0.000, 0.000), Mg at (0.000, 0.000, 0.500), Mg at (0.104, 0.392, 0.212), Mg at (0.175, 0.176, 0.347), Hg at (0.000, 0.500, 0.500) and Hg at (0.250, 0.250, 0.000).

---

No. 2
Below is a relaxed BaMgGa2 crystal, with properties calculated at the GGA-PBE level.

The formation energy from the elements comes out at -0.366 eV per atom. For the size of the total moment, the calculation gives 0.0 μB per formula unit. The calculation puts the total energy at -11.0 eV per formula unit. The crystal system is orthorhombic.

The space group is Pnma (No. 62) and the conventional cell measures 15.755, 4.593 and 12.259 Å, with angles of 90.00, 90.00 and 90.00 degrees. The inequivalent atoms are Ba at (0.060, 0.250, 0.246), Ba at (0.201, 0.750, 0.979), Mg at (0.058, 0.250, 0.558), Mg at (0.182, 0.750, 0.677), Ga at (0.022, 0.250, 0.960), Ga at (0.111, 0.250, 0.784), Ga at (0.128, 0.750, 0.452) and Ga at (0.226, 0.750, 0.274).

---

No. 3
Below is a relaxed Pu4GeIr crystal, with properties calculated at the GGA-PBE level.

The formation energy from the elements comes out at -0.188 eV per atom. The energy above the most stable polymorph in this dataset is 0.0000 eV/atom. For the size of the total moment, the calculation gives 22.9 μB per formula unit. The calculation puts the total energy at -71.9 eV per formula unit. The crystal system is monoclinic.

The space group is C2/m (No. 12) and the conventional cell measures 9.196, 4.390 and 8.295 Å, with angles of 90.00, 108.52 and 90.00 degrees. The inequivalent atoms are Pu at (0.130, 0.000, 0.382), Pu at (0.147, 0.500, 0.861), Ge at (0.000, 0.000, 0.000) and Ir at (0.000, 0.500, 0.500).

---

No. 4
Below is a relaxed ScSn5 crystal, with properties calculated at the GGA-PBE level.

The formation energy from the elements comes out at -0.158 eV per atom. For the size of the total moment, the calculation gives 0.0 μB per formula unit. The calculation puts the total energy at -27.3 eV per formula unit. The crystal system is orthorhombic.

The space group is Cmmm (No. 65) and the conventional cell measures 4.485, 15.168 and 4.551 Å, with angles of 90.00, 90.00 and 90.00 degrees. The inequivalent atoms are Sc at (0.000, 0.000, 0.000), Sn at (0.000, 0.165, 0.500), Sn at (0.000, 0.345, 0.000) and Sn at (0.000, 0.500, 0.500).

---

No. 5
Below is a relaxed PaSiNi6B crystal, with properties calculated at the GGA-PBE level.

For the size of the total moment, the calculation gives 0.0 μB per formula unit. The value obtained for the formation energy without anion corrections is -17 kJ per mole of atoms. The calculation puts the total energy at -57.9 eV per formula unit. The crystal system is orthorhombic.

The space group is Imma (No. 74) and the conventional cell measures 6.016, 7.736 and 10.152 Å, with angles of 90.00, 90.00 and 90.00 degrees. The inequivalent atoms are Pa at (0.000, 0.250, 0.180), Si at (0.250, 0.250, 0.750), Ni at (0.000, 0.250, 0.461), Ni at (0.000, 0.250, 0.923), Ni at (0.241, 0.006, 0.624) and B at (0.000, 0.000, 0.500).

---

No. 6
Below is a relaxed Mn2PRh crystal, with properties calculated at the GGA-PBE level.

The formation energy from the elements comes out at -0.196 eV per atom. For the size of the total moment, the calculation gives 4.0 μB per formula unit. The calculation puts the total energy at -31.9 eV per formula unit. The crystal system is cubic.

The space group is F-43m (No. 216) and the conventional cell measures 5.797, 5.797 and 5.797 Å, with angles of 90.00, 90.00 and 90.00 degrees. The inequivalent atoms are Mn at (0.000, 0.000, 0.000), Mn at (0.250, 0.250, 0.250), P at (0.250, 0.250, 0.750) and Rh at (0.000, 0.000, 0.500).

---

Q: Among the records above, which one has the lowest total energy?
A: Pu4GeIr

---

Q: Look up the size of the total moment of the sixth one.
A: 4.0 μB per formula unit

---

Q: The lowest total energy belongs to which entry?
A: Pu4GeIr